28
Lattice="17.685 0.000 0.000 0.000 4.709 0.000 0.000 0.000 6.800" Properties=species:S:1:pos:R:3 comment="SrZn2Au4 PBE relaxed" relative_energy_mev_per_atom=54 formation_energy_ev_per_atom=-0.394 m_tot_mub_per_fu=0.00 energy_ev_per_cell=-80.383 pbc="T T T"
Sr 2.517 1.177 0.355
Sr 6.326 3.532 3.755
Sr 11.360 1.177 3.045
Sr 15.168 3.532 6.445
Zn 0.768 3.532 4.976
Zn 3.876 1.177 3.961
Zn 4.967 3.532 0.561
Zn 8.075 1.177 1.576
Zn 9.610 3.532 5.224
Zn 12.719 1.177 6.240
Zn 13.809 3.532 2.839
Zn 16.918 1.177 1.824
Au 0.439 3.532 0.889
Au 1.255 1.177 3.595
Au 2.979 3.532 2.466
Au 3.470 3.532 5.252
Au 5.372 1.177 1.852
Au 5.863 1.177 5.866
Au 7.587 3.532 0.195
Au 8.404 1.177 4.289
Au 9.281 3.532 2.511
Au 10.098 1.177 6.605
Au 11.822 3.532 0.934
Au 12.313 3.532 4.948
Au 14.215 1.177 1.548
Au 14.706 1.177 4.334
Au 16.430 3.532 3.205
Au 17.247 1.177 5.911